Here is a geometry-optimized YTi2Si2 structure from the Alexandria database. Energies are from PBE.

Lattice parameters (Å, degrees): 7.207 7.207 3.370 90.00 90.00 90.00
Sites, in units of the cell vectors:
Y1 0.000 0.000 0.000
Y2 0.500 0.500 0.000
Ti1 0.170 0.330 0.500
Ti2 0.330 0.830 0.500
Ti3 0.670 0.170 0.500
Ti4 0.830 0.670 0.500
Si1 0.120 0.620 0.000
Si2 0.380 0.120 0.000
Si3 0.620 0.880 0.000
Si4 0.880 0.380 0.000

Values from the calculation:
The value obtained for the uncorrected formation energy is -2.8 eV/f.u. As for the energy above the most stable polymorph in this dataset: 65 kJ/mol of formula units. Its total magnetization is 0.000 μB/cell.